1.
A plane-wave DFT calculation with PBE-GGA was carried out for an optimized crystal structure of NaPuCdF6.

For the total energy, the calculation gives -53.900 eV/f.u.

It has space group P-31c (No. 163), with a = 5.9854 Å, b = 5.9854 Å, c = 9.4064 Å, α = 90.00°, β = 90.00° and γ = 120.00°. The inequivalent atoms are Na at (0.3333, 0.6667, 0.2500), Pu at (0.3333, 0.6667, 0.7500), Cd at (0.0000, 0.0000, 0.0000) and F at (0.0055, 0.3285, 0.6281).


2.
A plane-wave DFT calculation with PBE-GGA was carried out for an optimized crystal structure of Nb2CuSi2.

For the total energy, the calculation gives -37.679 eV/f.u.

It has space group Immm (No. 71), with a = 3.707 Å, b = 5.217 Å, c = 7.656 Å, α = 90.00°, β = 90.00° and γ = 90.00°. The inequivalent atoms are Nb at (0.000, 0.000, 0.200), Cu at (0.000, 0.500, 0.000) and Si at (0.000, 0.270, 0.500).


3.
A plane-wave DFT calculation with PBE-GGA was carried out for an optimized crystal structure of LiHoTmIr.

Its energy relative to the elements is -0.614 eV per atom.

It has space group F-43m (No. 216), with a = 6.885 Å, b = 6.885 Å, c = 6.885 Å, α = 90.00°, β = 90.00° and γ = 90.00°. The inequivalent atoms are Li at (0.000, 0.000, 0.000), Ho at (0.250, 0.250, 0.750), Tm at (0.250, 0.250, 0.250) and Ir at (0.000, 0.000, 0.500).


4.
A plane-wave DFT calculation with PBE-GGA was carried out for an optimized crystal structure of CeDy2Tm.

Its polymorph energy (0 for the lowest one) is 115 meV/atom. Its energy relative to the elements is 0.170 eV per atom.

It has space group R-3m (No. 166, hexagonal axes), with a = 3.3908 Å, b = 3.3908 Å, c = 36.6740 Å, α = 90.00°, β = 90.00° and γ = 120.00°. The inequivalent atoms are Ce at (0.0000, 0.0000, 0.0000), Dy at (0.0000, 0.0000, 0.0891) and Tm at (0.0000, 0.0000, 0.5000).


5.
A plane-wave DFT calculation with PBE-GGA was carried out for an optimized crystal structure of Nd6Ho8Tl.

Its energy relative to the elements is 0.078 eV per atom.

It has space group P-3 (No. 147), with a = 9.4768 Å, b = 9.4768 Å, c = 6.3808 Å, α = 90.00°, β = 90.00° and γ = 120.00°. The inequivalent atoms are Nd at (0.0904, 0.6388, 0.1853), Ho at (0.0395, 0.7770, 0.6880), Ho at (0.3333, 0.6667, 0.6726) and Tl at (0.0000, 0.0000, 0.0000).


6.
A plane-wave DFT calculation with PBE-GGA was carried out for an optimized crystal structure of HoTmCoPt.

Its energy relative to the elements is -0.714 eV per atom.

It has space group F-43m (No. 216), with a = 6.793 Å, b = 6.793 Å, c = 6.793 Å, α = 90.00°, β = 90.00° and γ = 90.00°. The inequivalent atoms are Ho at (0.000, 0.000, 0.000), Tm at (0.000, 0.000, 0.500), Co at (0.250, 0.250, 0.750) and Pt at (0.250, 0.250, 0.250).


7.
A plane-wave DFT calculation with PBE-GGA was carried out for an optimized crystal structure of BeHgAu2.

Its polymorph energy (0 for the lowest one) is 0 meV/atom. Its energy relative to the elements is -0.031 eV per atom.

It has space group P2_1/m (No. 11), with a = 4.552 Å, b = 3.641 Å, c = 8.394 Å, α = 90.00°, β = 96.20° and γ = 90.00°. The inequivalent atoms are Be at (0.170, 0.250, 0.023), Hg at (0.256, 0.250, 0.545), Au at (0.217, 0.750, 0.220) and Au at (0.306, 0.750, 0.852).